[1]
Compound: Tc2PW
Source: Alexandria via LeMat-Bulk
Functional: PBEsol
Structure: relaxed

Space-group type: R3m (160)
ΔE_f (eV/atom): 0.0159

Unit cell a=2.7921 b=2.7921 c=24.7390 alpha=90.00 beta=90.00 gamma=120.00
Last column: nearest neighbours and their distance in Å.
Element x y z (fractional)
Tc 0.0000 0.0000 0.0000  9 Tc 2.68-2.79, 3 W 2.76
Tc 0.0000 0.0000 0.2468  3 P 2.46, 3 Tc 2.68
Tc 0.3333 0.6667 0.6667  9 Tc 2.68-2.79, 3 W 2.76
Tc 0.3333 0.6667 0.9135  3 P 2.46, 3 Tc 2.68
Tc 0.6667 0.3333 0.3333  9 Tc 2.68-2.79, 3 W 2.76
Tc 0.6667 0.3333 0.5802  3 P 2.46, 3 Tc 2.68
P 0.0000 0.0000 0.5049  3 Tc 2.46, 3 W 2.57
P 0.3333 0.6667 0.1716  3 Tc 2.46, 3 W 2.57
P 0.6667 0.3333 0.8382  3 Tc 2.46, 3 W 2.57
W 0.0000 0.0000 0.7572  3 P 2.57, 3 Tc 2.76, 6 W 2.79
W 0.3333 0.6667 0.4239  3 P 2.57, 3 Tc 2.76, 6 W 2.79
W 0.6667 0.3333 0.0905  3 P 2.57, 3 Tc 2.76, 6 W 2.79



[2]
Compound: MgInSi
Source: Alexandria via LeMat-Bulk
Functional: PBEsol
Structure: relaxed

Energy relative to the elements, uncorrected (eV per atom): 0.30
Space-group type: F-43m (216)

Unit cell a=6.5374 b=6.5374 c=6.5374 alpha=90.00 beta=90.00 gamma=90.00
Last column: nearest neighbours and their distance in Å.
Element x y z (fractional)
Mg 0.0000 0.0000 0.0000  4 In 2.83
Mg 0.0000 0.5000 0.5000  4 In 2.83
Mg 0.5000 0.0000 0.5000  4 In 2.83
Mg 0.5000 0.5000 0.0000  4 In 2.83
In 0.2500 0.2500 0.7500  4 Mg 2.83, 4 Si 2.83
In 0.2500 0.7500 0.2500  4 Mg 2.83, 4 Si 2.83
In 0.7500 0.2500 0.2500  4 Mg 2.83, 4 Si 2.83
In 0.7500 0.7500 0.7500  4 Si 2.83, 4 Mg 2.83
Si 0.0000 0.0000 0.5000  4 In 2.83
Si 0.0000 0.5000 0.0000  4 In 2.83
Si 0.5000 0.0000 0.0000  4 In 2.83
Si 0.5000 0.5000 0.5000  4 In 2.83



[3]
Compound: CoIr2Os
Source: Alexandria via LeMat-Bulk
Functional: PBEsol
Structure: relaxed

Distance to the lowest polymorph of the same formula (eV per formula unit): 0.134
Space-group type: C2/m (12)
ΔE_f (eV/atom): 0.0531

Unit cell a=8.7901 b=2.6661 c=4.5707 alpha=90.00 beta=100.18 gamma=90.00
Last column: nearest neighbours and their distance in Å.
Element x y z (fractional)
Co 0.0000 0.0000 0.0000  6 Ir 2.64-2.65, 4 Os 2.65, 2 Co 2.67
Co 0.5000 0.5000 0.0000  6 Ir 2.64-2.65, 4 Os 2.65, 2 Co 2.67
Ir 0.2489 0.5000 0.2463  6 Ir 2.62-2.67, 3 Co 2.64-2.65, 3 Os 2.65-2.66
Ir 0.2511 0.0000 0.7537  6 Ir 2.62-2.67, 3 Co 2.64-2.65, 3 Os 2.65-2.66
Ir 0.7489 0.0000 0.2463  6 Ir 2.62-2.67, 3 Co 2.64-2.65, 3 Os 2.65-2.66
Ir 0.7511 0.5000 0.7537  6 Ir 2.62-2.67, 3 Co 2.64-2.65, 3 Os 2.65-2.66
Os 0.0000 0.5000 0.5000  4 Co 2.65, 6 Ir 2.65-2.66, 2 Os 2.67
Os 0.5000 0.0000 0.5000  4 Co 2.65, 6 Ir 2.65-2.66, 2 Os 2.67



[4]
Compound: K2AsPb
Source: Alexandria via LeMat-Bulk
Functional: PBEsol
Structure: relaxed

Distance to the lowest polymorph of the same formula (eV per formula unit): 0.000
Space-group type: Amm2 (38)
ΔE_f (eV/atom): -0.2892

Unit cell a=4.2847 b=5.2443 c=12.4599 alpha=90.00 beta=90.00 gamma=90.00
Last column: nearest neighbours and their distance in Å.
Element x y z (fractional)
K 0.0000 0.0000 0.0000  3 As 3.43-3.84, 4 Pb 3.55
K 0.0000 0.5000 0.5000  3 As 3.43-3.84, 4 Pb 3.55
K 0.5000 0.0000 0.2883  4 As 3.48, 3 Pb 3.64-3.70
K 0.5000 0.5000 0.7883  4 As 3.48, 3 Pb 3.64-3.70
As 0.0000 0.0000 0.7249  2 Pb 2.76
As 0.0000 0.5000 0.2249  2 Pb 2.76
Pb 0.5000 0.0000 0.5851  2 As 2.76
Pb 0.5000 0.5000 0.0851  2 As 2.76



[5]
Compound: LaMgCr2
Source: Alexandria via LeMat-Bulk
Functional: PBEsol
Structure: relaxed

Space-group type: P4/mmm (123)
ΔE_f (eV/atom): 0.7026

Unit cell a=3.5036 b=3.5036 c=6.4259 alpha=90.00 beta=90.00 gamma=90.00
Last column: nearest neighbours and their distance in Å.
Element x y z (fractional)
La 0.0000 0.0000 0.0000  2 Mg 3.21, 8 Cr 3.35, 4 La 3.50
Mg 0.0000 0.0000 0.5000  8 Cr 2.66
Cr 0.5000 0.5000 0.3511  1 Cr 1.91
Cr 0.5000 0.5000 0.6489  1 Cr 1.91



[6]
Compound: Mg2CrF
Source: Alexandria via LeMat-Bulk
Functional: PBEsol
Structure: relaxed

Energy relative to the elements, uncorrected (eV per atom): -0.55
Space-group type: I-42d (122)

Unit cell a=6.5627 b=6.5627 c=6.4812 alpha=90.00 beta=90.00 gamma=90.00
Last column: nearest neighbours and their distance in Å.
Element x y z (fractional)
Mg 0.1596 0.7500 0.1250  2 F 2.11
Mg 0.2500 0.1596 0.8750  2 F 2.11
Mg 0.2500 0.3404 0.3750  2 F 2.11
Mg 0.3404 0.7500 0.6250  2 F 2.11
Mg 0.6596 0.2500 0.6250  2 F 2.11
Mg 0.7500 0.6596 0.3750  2 F 2.11
Mg 0.7500 0.8404 0.8750  2 F 2.11
Mg 0.8404 0.2500 0.1250  2 F 2.11
Cr 0.0000 0.0000 0.5000  8 Mg 2.89-3.11
Cr 0.0000 0.5000 0.7500  8 Mg 2.89-3.11
Cr 0.5000 0.0000 0.2500  8 Mg 2.89-3.11
Cr 0.5000 0.5000 0.0000  8 Mg 2.89-3.11
F 0.0000 0.0000 0.0000  4 Mg 2.11
F 0.0000 0.5000 0.2500  4 Mg 2.11
F 0.5000 0.0000 0.7500  4 Mg 2.11
F 0.5000 0.5000 0.5000  4 Mg 2.11



[7]
Compound: Mg5Pt3
Source: Alexandria via LeMat-Bulk
Functional: PBEsol
Structure: relaxed

Distance to the lowest polymorph of the same formula (eV per formula unit): 0.092
Space-group type: P6_3/mcm (193)
ΔE_f (eV/atom): -0.6495

Unit cell a=7.7699 b=7.7699 c=5.3405 alpha=90.00 beta=90.00 gamma=120.00
Last column: nearest neighbours and their distance in Å.
Element x y z (fractional)
Mg 0.0000 0.2556 0.2500  5 Pt 2.69-2.88
Mg 0.0000 0.7444 0.7500  5 Pt 2.69-2.88
Mg 0.2556 0.0000 0.2500  5 Pt 2.69-2.88
Mg 0.2556 0.2556 0.7500  5 Pt 2.69-2.88
Mg 0.3333 0.6667 0.0000  2 Mg 2.67, 6 Pt 2.74
Mg 0.3333 0.6667 0.5000  2 Mg 2.67, 6 Pt 2.74
Mg 0.6667 0.3333 0.0000  2 Mg 2.67, 6 Pt 2.74
Mg 0.6667 0.3333 0.5000  2 Mg 2.67, 6 Pt 2.74
Mg 0.7444 0.0000 0.7500  5 Pt 2.69-2.88
Mg 0.7444 0.7444 0.2500  5 Pt 2.69-2.88
Pt 0.0000 0.3932 0.7500  9 Mg 2.69-2.88
Pt 0.0000 0.6068 0.2500  9 Mg 2.69-2.88
Pt 0.3932 0.0000 0.7500  9 Mg 2.69-2.88
Pt 0.3932 0.3932 0.2500  9 Mg 2.69-2.88
Pt 0.6068 0.0000 0.2500  9 Mg 2.69-2.88
Pt 0.6068 0.6068 0.7500  9 Mg 2.69-2.88



[8]
Compound: TeIr3Se
Source: Alexandria via LeMat-Bulk
Functional: PBEsol
Structure: relaxed

Energy relative to the elements, uncorrected (eV per atom): 1.30
Space-group type: Pm-3m (221)

Unit cell a=4.5955 b=4.5955 c=4.5955 alpha=90.00 beta=90.00 gamma=90.00
Last column: nearest neighbours and their distance in Å.
Element x y z (fractional)
Te 0.0000 0.0000 0.0000  12 Ir 3.25
Ir 0.0000 0.5000 0.5000  2 Se 2.30
Ir 0.5000 0.0000 0.5000  2 Se 2.30
Ir 0.5000 0.5000 0.0000  2 Se 2.30
Se 0.5000 0.5000 0.5000  6 Ir 2.30



[9]
Compound: CoSeCl2
Source: Alexandria via LeMat-Bulk
Functional: PBEsol
Structure: relaxed

Distance to the lowest polymorph of the same formula (eV per formula unit): 1.438
Energy relative to the elements, uncorrected (eV per atom): 0.32
Space-group type: I4/mmm (139)

Unit cell a=5.0772 b=5.0772 c=5.8721 alpha=90.00 beta=90.00 gamma=90.00
Last column: nearest neighbours and their distance in Å.
Element x y z (fractional)
Co 0.0000 0.0000 0.0000  4 Cl 2.54
Co 0.5000 0.5000 0.5000  4 Cl 2.54
Se 0.0000 0.0000 0.5000  4 Cl 2.54
Se 0.5000 0.5000 0.0000  4 Cl 2.54
Cl 0.0000 0.5000 0.0000  2 Se 2.54, 2 Co 2.54
Cl 0.0000 0.5000 0.5000  2 Se 2.54, 2 Co 2.54
Cl 0.5000 0.0000 0.0000  2 Se 2.54, 2 Co 2.54
Cl 0.5000 0.0000 0.5000  2 Se 2.54, 2 Co 2.54



[10]
Compound: K3LiSi4
Source: Alexandria via LeMat-Bulk
Functional: PBEsol
Structure: relaxed

Energy relative to the elements, uncorrected (eV per atom): -0.12
Space-group type: Pnma (62)

Unit cell a=7.5542 b=9.6121 c=12.1614 alpha=90.00 beta=90.00 gamma=90.00
Last column: nearest neighbours and their distance in Å.
Element x y z (fractional)
K 0.1557 0.2500 0.0992  8 Si 3.51-3.92, 2 Li 3.74, 2 K 3.93
K 0.1575 0.0535 0.8057  6 Si 3.35-3.54, 1 Li 3.54
K 0.1575 0.4465 0.8057  6 Si 3.35-3.54, 1 Li 3.54
K 0.3425 0.5535 0.3057  6 Si 3.35-3.54, 1 Li 3.54
K 0.3425 0.9465 0.3057  6 Si 3.35-3.54, 1 Li 3.54
K 0.3443 0.7500 0.5992  8 Si 3.51-3.92, 2 Li 3.74, 2 K 3.93
K 0.6557 0.2500 0.4008  8 Si 3.51-3.92, 2 Li 3.74, 2 K 3.93
K 0.6575 0.0535 0.6943  6 Si 3.35-3.54, 1 Li 3.54
K 0.6575 0.4465 0.6943  6 Si 3.35-3.54, 1 Li 3.54
K 0.8425 0.5535 0.1943  6 Si 3.35-3.54, 1 Li 3.54
K 0.8425 0.9465 0.1943  6 Si 3.35-3.54, 1 Li 3.54
K 0.8443 0.7500 0.9008  8 Si 3.51-3.92, 2 Li 3.74, 2 K 3.93
Li 0.0000 0.0000 0.5000  4 Si 2.57-2.62
Li 0.0000 0.5000 0.5000  4 Si 2.57-2.62
Li 0.5000 0.0000 0.0000  4 Si 2.57-2.62
Li 0.5000 0.5000 0.0000  4 Si 2.57-2.62
Si 0.0131 0.2500 0.5857  3 Si 2.44, 2 Li 2.62
Si 0.1372 0.2500 0.4004  3 Si 2.44
Si 0.2115 0.6269 0.0486  3 Si 2.37-2.44, 1 Li 2.57
Si 0.2115 0.8731 0.0486  3 Si 2.37-2.44, 1 Li 2.57
Si 0.2885 0.1269 0.5486  3 Si 2.37-2.44, 1 Li 2.57
Si 0.2885 0.3731 0.5486  3 Si 2.37-2.44, 1 Li 2.57
Si 0.3628 0.7500 0.9004  3 Si 2.44
Si 0.4869 0.7500 0.0857  3 Si 2.44, 2 Li 2.62
Si 0.5131 0.2500 0.9143  3 Si 2.44, 2 Li 2.62
Si 0.6372 0.2500 0.0996  3 Si 2.44
Si 0.7115 0.6269 0.4514  3 Si 2.37-2.44, 1 Li 2.57
Si 0.7115 0.8731 0.4514  3 Si 2.37-2.44, 1 Li 2.57
Si 0.7885 0.1269 0.9514  3 Si 2.37-2.44, 1 Li 2.57
Si 0.7885 0.3731 0.9514  3 Si 2.37-2.44, 1 Li 2.57
Si 0.8628 0.7500 0.5996  3 Si 2.44
Si 0.9869 0.7500 0.4143  3 Si 2.44, 2 Li 2.62



The records above yield total magnetic moment values of 0.0; 0.0; 1.0; 0.0; 0.0; 4.7; 0.0; 0.0; 2.4; 0.0 μB per formula unit, respectively.